(P)
The following is a DFT calculation (GGA-PBE) of a relaxed La4Y8Tm3 crystal.

Lattice parameters (Å, degrees): 13.576 12.898 6.810 90.00 119.94 90.00
Space group C2/m (No. 12)
Symmetry-distinct sites (fractional):
1 La 0.000 0.000 0.000 x2
2 La 0.000 0.000 0.500 x2
3 La 0.250 0.250 0.000 x4
4 Y 0.000 0.255 0.000 x4
5 Y 0.000 0.362 0.500 x4
6 Y 0.226 0.500 0.960 x4
7 Y 0.232 0.500 0.486 x4
8 Tm 0.000 0.500 0.000 x2
9 Tm 0.250 0.250 0.500 x4

Properties
DOS at the Fermi energy: 30.33 states/eV/f.u.
V: 34.44 Å³ per atom

(Q)
The following is a DFT calculation (GGA-PBE) of a relaxed La4Y8Tm3 crystal.

Lattice parameters (Å, degrees): 7.0153 7.0153 35.8082 90.00 90.00 120.00
Space group R-3m (No. 166, hexagonal axes)
Symmetry-distinct sites (fractional):
1 La 0.0000 0.0000 0.0000 x3
2 La 0.0000 0.0000 0.1641 x6
3 La 0.0000 0.0000 0.5000 x3
4 Y 0.0000 0.0000 0.2563 x6
5 Y 0.0024 0.5012 0.2516 x18
6 Tm 0.0000 0.5000 0.0000 x9

Properties
DOS at the Fermi energy: 24.31 states/eV/f.u.
V: 33.92 Å³ per atom

Which one is most stable, and which one is least stable? (Q) is the most stable of them, while (P) is the least stable.

(P)
The following is a DFT calculation (GGA-PBE) of a relaxed La2Y2Tm7 crystal.

Lattice parameters (Å, degrees): 12.073 6.455 9.438 90.00 90.06 90.00
Space group C2/m (No. 12)
Symmetry-distinct sites (fractional):
1 La 0.000 0.248 0.000 x4
2 Y 0.221 0.000 0.500 x4
3 Tm 0.000 0.000 0.315 x4
4 Tm 0.000 0.500 0.500 x2
5 Tm 0.250 0.250 0.184 x8

Properties
DOS at the Fermi energy: 16.17 states/eV/f.u.
V: 33.43 Å³ per atom

(Q)
The following is a DFT calculation (GGA-PBE) of a relaxed La2Y2Tm7 crystal.

Lattice parameters (Å, degrees): 11.276 11.477 6.098 90.00 114.39 90.00
Space group C2/m (No. 12)
Symmetry-distinct sites (fractional):
1 La 0.100 0.000 0.312 x4
2 Y 0.000 0.292 0.000 x4
3 Tm 0.000 0.500 0.500 x2
4 Tm 0.173 0.262 0.680 x8
5 Tm 0.232 0.500 0.071 x4

Properties
DOS at the Fermi energy: 19.04 states/eV/f.u.
V: 32.67 Å³ per atom

Which one is most stable, and which one is least stable? (Q) is the most stable of them, while (P) is the least stable.